(1)
# Sm4MgAl2Ag PBE-GGA optimized geometry
data_Sm4MgAl2Ag
_chemical_formula_sum 'Sm12 Mg3 Al6 Ag3'
_cell_length_a 5.2755
_cell_length_b 5.2755
_cell_length_c 25.9622
_cell_angle_alpha 90.00
_cell_angle_beta 90.00
_cell_angle_gamma 120.00
_space_group_name_H-M_alt 'R -3 m'
_space_group_IT_number 166
_space_group_name_Hall '-R 3 2"'
loop_
_atom_site_label
_atom_site_type_symbol
_atom_site_fract_x
_atom_site_fract_y
_atom_site_fract_z
Sm1 Sm 0.0000 0.0000 0.1217
Sm2 Sm 0.0000 0.0000 0.3720
Mg1 Mg 0.0000 0.0000 0.5000
Al1 Al 0.0000 0.0000 0.2455
Ag1 Ag 0.0000 0.0000 0.0000
# **Volume**: 626 Å³ per cell
# **Total DFT energy (no corrections)**: -4.141 eV/atom
# **Theoretical density**: 6.27 g/cm3

=====

(2)
# Sm2MgAl4Ag3 PBE-GGA optimized geometry
data_Sm2MgAl4Ag3
_chemical_formula_sum 'Sm2 Mg1 Al4 Ag3'
_cell_length_a 4.281
_cell_length_b 4.281
_cell_length_c 11.510
_cell_angle_alpha 90.00
_cell_angle_beta 90.00
_cell_angle_gamma 90.00
_space_group_name_H-M_alt 'P -4 m 2'
_space_group_IT_number 115
loop_
_space_group_symop_operation_xyz
'x,y,z'
'y,-x,-z'
'-x,-y,z'
'-y,x,-z'
'-x,y,z'
'-y,-x,-z'
'x,-y,z'
'y,x,-z'
loop_
_atom_site_label
_atom_site_type_symbol
_atom_site_fract_x
_atom_site_fract_y
_atom_site_fract_z
Sm1 Sm 0.000 0.500 0.240
Mg1 Mg 0.000 0.000 0.500
Al1 Al 0.000 0.000 0.000
Al2 Al 0.000 0.500 0.650
Al3 Al 0.500 0.500 0.000
Ag1 Ag 0.000 0.500 0.869
Ag2 Ag 0.500 0.500 0.500
# **Volume**: 211 Å³ per cell
# **Total DFT energy (no corrections)**: -3.769 eV/atom
# **Theoretical density**: 5.95 g/cm3

=====

(3)
# Sr2MgAl4Ag3 PBE-GGA optimized geometry
data_Sr2MgAl4Ag3
_chemical_formula_sum 'Sr2 Mg1 Al4 Ag3'
_cell_length_a 4.409
_cell_length_b 4.409
_cell_length_c 11.793
_cell_angle_alpha 90.00
_cell_angle_beta 90.00
_cell_angle_gamma 90.00
_space_group_name_H-M_alt 'P -4 m 2'
_space_group_IT_number 115
loop_
_space_group_symop_operation_xyz
'x,y,z'
'y,-x,-z'
'-x,-y,z'
'-y,x,-z'
'-x,y,z'
'-y,-x,-z'
'x,-y,z'
'y,x,-z'
loop_
_atom_site_label
_atom_site_type_symbol
_atom_site_fract_x
_atom_site_fract_y
_atom_site_fract_z
Sr1 Sr 0.000 0.500 0.242
Mg1 Mg 0.000 0.000 0.500
Al1 Al 0.000 0.000 0.000
Al2 Al 0.000 0.500 0.646
Al3 Al 0.500 0.500 0.000
Ag1 Ag 0.000 0.500 0.870
Ag2 Ag 0.500 0.500 0.500
# **Volume**: 229 Å³ per cell
# **Total DFT energy (no corrections)**: -3.073 eV/atom
# **Theoretical density**: 4.57 g/cm3

=====

(4)
# Sr2MgAlAg6 PBE-GGA optimized geometry
data_Sr2MgAlAg6
_chemical_formula_sum 'Sr2 Mg1 Al1 Ag6'
_cell_length_a 5.855
_cell_length_b 7.093
_cell_length_c 7.287
_cell_angle_alpha 77.84
_cell_angle_beta 66.49
_cell_angle_gamma 65.66
_space_group_name_H-M_alt 'P -1'
_space_group_IT_number 2
loop_
_space_group_symop_operation_xyz
'x,y,z'
'-x,-y,-z'
loop_
_atom_site_label
_atom_site_type_symbol
_atom_site_fract_x
_atom_site_fract_y
_atom_site_fract_z
Sr1 Sr 0.247 0.295 0.211
Mg1 Mg 0.000 0.000 0.000
Al1 Al 0.500 0.500 0.500
Ag1 Ag 0.238 0.755 0.269
Ag2 Ag 0.250 0.899 0.600
Ag3 Ag 0.262 0.245 0.730
# **Volume**: 252 Å³ per cell
# **Total DFT energy (no corrections)**: -2.737 eV/atom
# **Theoretical density**: 5.75 g/cm3

=====

no.,density of states at the Fermi level (states/eV/cell)
1,23.04
2,6.27
3,3.09
4,4.19